(1)
Below is a relaxed structure of BaHg4Pb, with properties calculated at the PBE level.

* calculated total energy: -1.385 eV/atom
* crystal system: cubic
* ΔE_f: -0.25 eV/atom
* energy relative to the lowest polymorph listed for this composition: 30 meV/atom
* D(E_F): 3.2 states/eV/f.u.
* space-group type: F-43m (216)

Cell and atoms, written as CIF:
```
data_BaHg4Pb
_chemical_formula_sum 'Ba1 Hg4 Pb1'
_cell_length_a 6.318
_cell_length_b 6.318
_cell_length_c 6.318
_cell_angle_alpha 60.00
_cell_angle_beta 60.00
_cell_angle_gamma 60.00
_symmetry_space_group_name_H-M 'P 1'
_symmetry_Int_Tables_number 1
_symmetry_space_group_name_Hall 'P 1'
loop_
_atom_site_label
_atom_site_type_symbol
_atom_site_fract_x
_atom_site_fract_y
_atom_site_fract_z
Ba1 Ba 0.000 0.000 0.000
Hg1 Hg 0.376 0.376 0.376
Hg2 Hg 0.376 0.376 0.873
Hg3 Hg 0.376 0.873 0.376
Hg4 Hg 0.873 0.376 0.376
Pb1 Pb 0.750 0.750 0.750
```

=====

(2)
Below is a relaxed structure of Ba2HgPb5, with properties calculated at the PBE level.

* calculated total energy: -3.042 eV/atom
* crystal system: tetragonal
* ΔE_f: -0.21 eV/atom
* D(E_F): 3.2 states/eV/f.u.
* space-group type: I4mm (107)

Cell and atoms, written as CIF:
```
data_Ba2HgPb5
_chemical_formula_sum 'Ba4 Hg2 Pb10'
_cell_length_a 6.956
_cell_length_b 6.956
_cell_length_c 13.203
_cell_angle_alpha 90.00
_cell_angle_beta 90.00
_cell_angle_gamma 90.00
_symmetry_space_group_name_H-M 'P 1'
_symmetry_Int_Tables_number 1
_symmetry_space_group_name_Hall 'P 1'
loop_
_atom_site_label
_atom_site_type_symbol
_atom_site_fract_x
_atom_site_fract_y
_atom_site_fract_z
Ba1 Ba 0.000 0.500 0.000
Ba2 Ba 0.000 0.500 0.500
Ba3 Ba 0.500 0.000 0.000
Ba4 Ba 0.500 0.000 0.500
Hg1 Hg 0.000 0.000 0.394
Hg2 Hg 0.500 0.500 0.894
Pb1 Pb 0.000 0.000 0.607
Pb2 Pb 0.249 0.249 0.756
Pb3 Pb 0.249 0.751 0.756
Pb4 Pb 0.251 0.251 0.256
Pb5 Pb 0.251 0.749 0.256
Pb6 Pb 0.500 0.500 0.107
Pb7 Pb 0.749 0.251 0.256
Pb8 Pb 0.749 0.749 0.256
Pb9 Pb 0.751 0.249 0.756
Pb10 Pb 0.751 0.751 0.756
```

=====

(3)
Below is a relaxed structure of BaHg2Pb2, with properties calculated at the PBE level.

* calculated total energy: -2.169 eV/atom
* crystal system: tetragonal
* ΔE_f: -0.18 eV/atom
* D(E_F): 2.8 states/eV/f.u.
* space-group type: P4/mbm (127)

Cell and atoms, written as CIF:
```
data_BaHg2Pb2
_chemical_formula_sum 'Ba2 Hg4 Pb4'
_cell_length_a 9.091
_cell_length_b 9.091
_cell_length_c 3.877
_cell_angle_alpha 90.00
_cell_angle_beta 90.00
_cell_angle_gamma 90.00
_symmetry_space_group_name_H-M 'P 1'
_symmetry_Int_Tables_number 1
_symmetry_space_group_name_Hall 'P 1'
loop_
_atom_site_label
_atom_site_type_symbol
_atom_site_fract_x
_atom_site_fract_y
_atom_site_fract_z
Ba1 Ba 0.000 0.000 0.000
Ba2 Ba 0.500 0.500 0.000
Hg1 Hg 0.168 0.332 0.500
Hg2 Hg 0.332 0.832 0.500
Hg3 Hg 0.668 0.168 0.500
Hg4 Hg 0.832 0.668 0.500
Pb1 Pb 0.127 0.627 0.000
Pb2 Pb 0.373 0.127 0.000
Pb3 Pb 0.627 0.873 0.000
Pb4 Pb 0.873 0.373 0.000
```